# 1
This record from the Open Quantum Materials Database describes crystalline YFeBiMo at its relaxed geometry. The functional is GGA-PBE.

```
YFeBiMo
1.0
0.0000 3.4473 3.4473
3.4473 0.0000 3.4473
3.4473 3.4473 0.0000
Y Fe Bi Mo
1 1 1 1
direct
0.0000 0.0000 0.0000 Y
0.5000 0.5000 0.5000 Fe
0.2500 0.2500 0.2500 Bi
0.7500 0.7500 0.7500 Mo
```

Summary:
Polymorph energy (0 for the lowest one) in eV per atom: 0.126
Size of the total moment in μB/f.u.: 3.92
SG: No. 216


# 2
This record from the Open Quantum Materials Database describes crystalline Nb4FeBiN2 at its relaxed geometry. The functional is GGA-PBE.

```
Nb4FeBiN2
1.0
3.1954 0.0000 0.0000
-1.5977 2.7673 0.0000
0.0000 0.0000 13.6467
Nb Fe Bi N
4 1 1 2
direct
0.0000 0.0000 0.1442 Nb
0.0000 0.0000 0.8558 Nb
0.3333 0.6667 0.3173 Nb
0.3333 0.6667 0.6827 Nb
0.3333 0.6667 0.0000 Fe
0.0000 0.0000 0.5000 Bi
0.6667 0.3333 0.2321 N
0.6667 0.3333 0.7679 N
```

Summary:
Uncorrected energy in eV/cell: -71.713
Size of the total moment in μB/f.u.: 1.23
SG: No. 187


# 3
This record from the Open Quantum Materials Database describes crystalline Sc4FeBiN2 at its relaxed geometry. The functional is GGA-PBE.

```
Sc4FeBiN2
1.0
3.2857 0.0000 0.0000
-1.6429 2.8455 0.0000
0.0000 0.0000 13.7167
Sc Fe Bi N
4 1 1 2
direct
0.0000 0.0000 0.1374 Sc
0.0000 0.0000 0.8626 Sc
0.6667 0.3333 0.3165 Sc
0.6667 0.3333 0.6835 Sc
0.6667 0.3333 0.0000 Fe
0.0000 0.0000 0.5000 Bi
0.3333 0.6667 0.2417 N
0.3333 0.6667 0.7583 N
```

Summary:
Uncorrected energy in eV/cell: -61.822
Size of the total moment in μB/f.u.: 0.57
SG: No. 187


# 4
This record from the Open Quantum Materials Database describes crystalline FeBiW4N2 at its relaxed geometry. The functional is GGA-PBE.

```
FeBiW4N2
1.0
2.9450 0.0000 0.0000
-1.4725 2.5504 0.0000
0.0000 0.0000 15.2249
Fe Bi W N
1 1 4 2
direct
0.0000 0.0000 0.0000 Fe
0.6667 0.3333 0.5000 Bi
0.0000 0.0000 0.3118 W
0.0000 0.0000 0.6882 W
0.6667 0.3333 0.1349 W
0.6667 0.3333 0.8651 W
0.3333 0.6667 0.2251 N
0.3333 0.6667 0.7749 N
```

Summary:
Uncorrected energy in eV/cell: -76.785
Size of the total moment in μB/f.u.: 1.88
SG: No. 187


# 5
This record from the Open Quantum Materials Database describes crystalline NaFeBiPb at its relaxed geometry. The functional is GGA-PBE.

```
NaFeBiPb
1.0
0.0000 3.7335 3.7335
3.7335 0.0000 3.7335
3.7335 3.7335 0.0000
Na Fe Bi Pb
1 1 1 1
direct
0.0000 0.0000 0.0000 Na
0.7500 0.7500 0.7500 Fe
0.5000 0.5000 0.5000 Bi
0.2500 0.2500 0.2500 Pb
```

Summary:
Polymorph energy (0 for the lowest one) in eV per atom: 0.188
Size of the total moment in μB/f.u.: 2.94
SG: No. 216


# 6
This record from the Open Quantum Materials Database describes crystalline NaFeBiPb at its relaxed geometry. The functional is GGA-PBE.

```
NaFeBiPb
1.0
0.0000 3.6164 3.6164
3.6164 0.0000 3.6164
3.6164 3.6164 0.0000
Na Fe Bi Pb
1 1 1 1
direct
0.0000 0.0000 0.0000 Na
0.5000 0.5000 0.5000 Fe
0.7500 0.7500 0.7500 Bi
0.2500 0.2500 0.2500 Pb
```

Summary:
Polymorph energy (0 for the lowest one) in eV per atom: 0.000
Size of the total moment in μB/f.u.: 2.77
SG: No. 216


# 7
This record from the Open Quantum Materials Database describes crystalline NaFeSiBi at its relaxed geometry. The functional is GGA-PBE.

```
NaFeSiBi
1.0
0.0000 3.4859 3.4859
3.4859 0.0000 3.4859
3.4859 3.4859 0.0000
Na Fe Si Bi
1 1 1 1
direct
0.0000 0.0000 0.0000 Na
0.2500 0.2500 0.2500 Fe
0.7500 0.7500 0.7500 Si
0.5000 0.5000 0.5000 Bi
```

Summary:
Polymorph energy (0 for the lowest one) in eV per atom: 0.188
Size of the total moment in μB/f.u.: 2.71
SG: No. 216


# 8
This record from the Open Quantum Materials Database describes crystalline NaFeSiBi at its relaxed geometry. The functional is GGA-PBE.

```
NaFeSiBi
1.0
0.0000 3.3712 3.3712
3.3712 0.0000 3.3712
3.3712 3.3712 0.0000
Na Fe Si Bi
1 1 1 1
direct
0.0000 0.0000 0.0000 Na
0.5000 0.5000 0.5000 Fe
0.7500 0.7500 0.7500 Si
0.2500 0.2500 0.2500 Bi
```

Summary:
Polymorph energy (0 for the lowest one) in eV per atom: 0.000
Size of the total moment in μB/f.u.: 2.23
SG: No. 216


# 9
This record from the Open Quantum Materials Database describes crystalline NaZrFeBi at its relaxed geometry. The functional is GGA-PBE.

```
NaZrFeBi
1.0
0.0000 3.3067 3.3067
3.3067 0.0000 3.3067
3.3067 3.3067 0.0000
Na Zr Fe Bi
1 1 1 1
direct
0.0000 0.0000 0.0000 Na
0.7500 0.7500 0.7500 Zr
0.5000 0.5000 0.5000 Fe
0.2500 0.2500 0.2500 Bi
```

Summary:
Polymorph energy (0 for the lowest one) in eV per atom: 0.000
Size of the total moment in μB/f.u.: 0.01
SG: No. 216


# 10
This record from the Open Quantum Materials Database describes crystalline NaZrFeBi at its relaxed geometry. The functional is GGA-PBE.

```
NaZrFeBi
1.0
0.0000 3.5019 3.5019
3.5019 0.0000 3.5019
3.5019 3.5019 0.0000
Na Zr Fe Bi
1 1 1 1
direct
0.0000 0.0000 0.0000 Na
0.5000 0.5000 0.5000 Zr
0.2500 0.2500 0.2500 Fe
0.7500 0.7500 0.7500 Bi
```

Summary:
Polymorph energy (0 for the lowest one) in eV per atom: 0.049
Size of the total moment in μB/f.u.: 1.65
SG: No. 216


# 11
This record from the Open Quantum Materials Database describes crystalline NbFeBi at its relaxed geometry. The functional is GGA-PBE.

```
NbFeBi
1.0
6.4875 0.0000 0.0000
-3.2438 5.6184 0.0000
0.0000 0.0000 4.4004
Nb Fe Bi
3 3 3
direct
0.0000 0.5536 0.0000 Nb
0.4464 0.4464 0.0000 Nb
0.5536 0.0000 0.0000 Nb
0.0000 0.2264 0.5000 Fe
0.2264 0.0000 0.5000 Fe
0.7736 0.7736 0.5000 Fe
0.0000 0.0000 0.0000 Bi
0.3333 0.6667 0.5000 Bi
0.6667 0.3333 0.5000 Bi
```

Summary:
Uncorrected energy in eV/cell: -63.400
Size of the total moment in μB/f.u.: 2.10
SG: No. 189


# 12
This record from the Open Quantum Materials Database describes crystalline NbFeBi at its relaxed geometry. The functional is GGA-PBE.

```
NbFeBi
1.0
4.6434 0.0000 0.0000
-2.3217 4.0213 0.0000
0.0000 0.0000 5.6978
Nb Fe Bi
2 2 2
direct
0.0000 0.0000 0.0000 Nb
0.0000 0.0000 0.5000 Nb
0.3333 0.6667 0.2500 Fe
0.6667 0.3333 0.7500 Fe
0.3333 0.6667 0.7500 Bi
0.6667 0.3333 0.2500 Bi
```

Summary:
Uncorrected energy in eV/cell: -42.626
Size of the total moment in μB/f.u.: 1.77
SG: No. 194